Here is a relaxed structure of AlVSn3 from Alexandria via LeMat-Bulk. Energies are from PBE-GGA.

Cell: 5.2270 5.2270 5.2270 Å, 90.00 90.00 90.00°
Closest atoms and distances in Å follow each position.
Space group Pm-3m (No. 221)
Symmetry-distinct sites (fractional):
Al 0.0000 0.0000 0.0000 (multiplicity 1)  6 Sn 2.61
V 0.5000 0.5000 0.5000 (multiplicity 1)  12 Sn 3.70
Sn 0.0000 0.0000 0.5000 (multiplicity 3)  2 Al 2.61

Results
DOS at the Fermi energy = 9.6 states/eV per cell
ΔH_f (0 K) = 4.40 eV per formula unit
E above lowest polymorph = 0.510 eV per atom
VASP energy = -4.093 eV/atom